[1]
An optimized crystal structure of V2CoB. Source: Alexandria via LeMat-Bulk, functional GGA-PBE.

M_tot (μB/cell): 0.00
Final energy (eV per cell): -65.174

Cell and atoms, written as CIF:
```
data_V2CoB
_chemical_formula_sum 'V4 Co2 B2'
_space_group_name_H-M_alt 'P 1'
_space_group_IT_number 1
_space_group_name_Hall 'P 1'
_cell_length_a 5.126
_cell_length_b 5.076
_cell_length_c 4.685
_cell_angle_alpha 63.21
_cell_angle_beta 62.12
_cell_angle_gamma 54.67
loop_
_atom_site_label
_atom_site_fract_x
_atom_site_fract_y
_atom_site_fract_z
V1 0.204 0.796 0.204
V2 0.250 0.250 0.250
V3 0.750 0.750 0.750
V4 0.796 0.204 0.796
Co1 0.300 0.700 0.700
Co2 0.700 0.300 0.300
B1 0.288 0.288 0.712
B2 0.712 0.712 0.288
```



[2]
An optimized crystal structure of VCo4B4. Source: Alexandria via LeMat-Bulk, functional GGA-PBE.

M_tot (μB/cell): 2.56
Final energy (eV per cell): -132.870

Cell and atoms, written as CIF:
```
data_VCo4B4
_chemical_formula_sum 'V2 Co8 B8'
_space_group_name_H-M_alt 'P 1'
_space_group_IT_number 1
_space_group_name_Hall 'P 1'
_cell_length_a 4.879
_cell_length_b 4.879
_cell_length_c 6.725
_cell_angle_alpha 90.00
_cell_angle_beta 90.00
_cell_angle_gamma 90.00
loop_
_atom_site_label
_atom_site_fract_x
_atom_site_fract_y
_atom_site_fract_z
V1 0.250 0.750 0.250
V2 0.750 0.250 0.750
Co1 0.000 0.250 0.105
Co2 0.000 0.750 0.895
Co3 0.250 0.000 0.605
Co4 0.250 0.500 0.605
Co5 0.500 0.250 0.105
Co6 0.500 0.750 0.895
Co7 0.750 0.000 0.395
Co8 0.750 0.500 0.395
B1 0.073 0.250 0.402
B2 0.250 0.073 0.902
B3 0.250 0.427 0.902
B4 0.427 0.250 0.402
B5 0.573 0.750 0.598
B6 0.750 0.573 0.098
B7 0.750 0.927 0.098
B8 0.927 0.750 0.598
```



[3]
An optimized crystal structure of V2CoB. Source: Alexandria via LeMat-Bulk, functional GGA-PBE.

M_tot (μB/cell): 0.52
Final energy (eV per cell): -32.358

Cell and atoms, written as CIF:
```
data_V2CoB
_chemical_formula_sum 'V2 Co1 B1'
_space_group_name_H-M_alt 'P 1'
_space_group_IT_number 1
_space_group_name_Hall 'P 1'
_cell_length_a 6.551
_cell_length_b 6.551
_cell_length_c 6.551
_cell_angle_alpha 25.26
_cell_angle_beta 25.26
_cell_angle_gamma 25.26
loop_
_atom_site_label
_atom_site_fract_x
_atom_site_fract_y
_atom_site_fract_z
V1 0.232 0.232 0.232
V2 0.768 0.768 0.768
Co1 0.000 0.000 0.000
B1 0.500 0.500 0.500
```



[4]
An optimized crystal structure of VCoB2. Source: Alexandria via LeMat-Bulk, functional GGA-PBE.

M_tot (μB/cell): 0.00
Final energy (eV per cell): -30.559

Cell and atoms, written as CIF:
```
data_VCoB2
_chemical_formula_sum 'V1 Co1 B2'
_space_group_name_H-M_alt 'P 1'
_space_group_IT_number 1
_space_group_name_Hall 'P 1'
_cell_length_a 2.497
_cell_length_b 3.847
_cell_length_c 3.847
_cell_angle_alpha 76.34
_cell_angle_beta 90.00
_cell_angle_gamma 90.00
loop_
_atom_site_label
_atom_site_fract_x
_atom_site_fract_y
_atom_site_fract_z
V1 0.000 0.000 0.000
Co1 0.500 0.606 0.606
B1 0.500 0.124 0.475
B2 0.500 0.475 0.124
```



[5]
An optimized crystal structure of VCoB2. Source: Alexandria via LeMat-Bulk, functional GGA-PBE.

M_tot (μB/cell): 0.01
Final energy (eV per cell): -57.617

Cell and atoms, written as CIF:
```
data_VCoB2
_chemical_formula_sum 'V2 Co2 B4'
_space_group_name_H-M_alt 'P 1'
_space_group_IT_number 1
_space_group_name_Hall 'P 1'
_cell_length_a 7.364
_cell_length_b 7.364
_cell_length_c 7.364
_cell_angle_alpha 153.13
_cell_angle_beta 153.13
_cell_angle_gamma 38.36
loop_
_atom_site_label
_atom_site_fract_x
_atom_site_fract_y
_atom_site_fract_z
V1 0.375 0.625 0.750
V2 0.625 0.375 0.250
Co1 0.125 0.875 0.250
Co2 0.875 0.125 0.750
B1 0.000 0.000 0.000
B2 0.000 0.000 0.500
B3 0.000 0.500 0.000
B4 0.500 0.000 0.500
```



[6]
An optimized crystal structure of V3CoB3. Source: Alexandria via LeMat-Bulk, functional GGA-PBE.

M_tot (μB/cell): 1.09
Final energy (eV per cell): -110.927

Cell and atoms, written as CIF:
```
data_V3CoB3
_chemical_formula_sum 'V6 Co2 B6'
_space_group_name_H-M_alt 'P 1'
_space_group_IT_number 1
_space_group_name_Hall 'P 1'
_cell_length_a 6.432
_cell_length_b 6.432
_cell_length_c 4.206
_cell_angle_alpha 90.00
_cell_angle_beta 90.00
_cell_angle_gamma 120.00
loop_
_atom_site_label
_atom_site_fract_x
_atom_site_fract_y
_atom_site_fract_z
V1 0.077 0.697 0.250
V2 0.303 0.380 0.250
V3 0.380 0.077 0.750
V4 0.620 0.923 0.250
V5 0.697 0.620 0.750
V6 0.923 0.303 0.750
Co1 0.333 0.667 0.750
Co2 0.667 0.333 0.250
B1 0.057 0.708 0.750
B2 0.292 0.349 0.750
B3 0.349 0.057 0.250
B4 0.651 0.943 0.750
B5 0.708 0.651 0.250
B6 0.943 0.292 0.250
```



[7]
An optimized crystal structure of V3CoB4. Source: Alexandria via LeMat-Bulk, functional GGA-PBE.

M_tot (μB/cell): 0.00
Final energy (eV per cell): -64.133

Cell and atoms, written as CIF:
```
data_V3CoB4
_chemical_formula_sum 'V3 Co1 B4'
_space_group_name_H-M_alt 'P 1'
_space_group_IT_number 1
_space_group_name_Hall 'P 1'
_cell_length_a 6.170
_cell_length_b 6.170
_cell_length_c 6.170
_cell_angle_alpha 151.10
_cell_angle_beta 137.39
_cell_angle_gamma 52.30
loop_
_atom_site_label
_atom_site_fract_x
_atom_site_fract_y
_atom_site_fract_z
V1 0.000 0.000 0.000
V2 0.309 0.809 0.500
V3 0.691 0.191 0.500
Co1 0.500 0.500 0.000
B1 0.061 0.372 0.688
B2 0.316 0.628 0.688
B3 0.684 0.372 0.312
B4 0.939 0.628 0.312
```



[8]
An optimized crystal structure of VCo2B2. Source: Alexandria via LeMat-Bulk, functional GGA-PBE.

M_tot (μB/cell): 0.00
Final energy (eV per cell): -77.020

Cell and atoms, written as CIF:
```
data_VCo2B2
_chemical_formula_sum 'V2 Co4 B4'
_space_group_name_H-M_alt 'P 1'
_space_group_IT_number 1
_space_group_name_Hall 'P 1'
_cell_length_a 3.635
_cell_length_b 3.184
_cell_length_c 7.934
_cell_angle_alpha 90.00
_cell_angle_beta 96.00
_cell_angle_gamma 90.00
loop_
_atom_site_label
_atom_site_fract_x
_atom_site_fract_y
_atom_site_fract_z
V1 0.203 0.250 0.251
V2 0.797 0.750 0.749
Co1 0.249 0.750 0.499
Co2 0.343 0.250 0.899
Co3 0.657 0.750 0.101
Co4 0.751 0.250 0.501
B1 0.135 0.750 0.016
B2 0.285 0.250 0.650
B3 0.715 0.750 0.350
B4 0.865 0.250 0.984
```